Here is AlSi after structural relaxation from Alexandria via LeMat-Bulk. Energies are from PBE.

Computed properties:
* energy: -4.3099 eV per atom
* E_form (uncorrected): 0.273 eV/atom

Lattice parameters (Å, degrees): 12.202 4.241 4.687 90.00 90.00 90.00
Positions (direct):
Al1 0.000 0.051 0.000
Al2 0.182 0.409 0.425
Al3 0.318 0.591 0.925
Al4 0.500 0.949 0.500
Al5 0.682 0.591 0.925
Al6 0.818 0.409 0.425
Si1 0.000 0.562 0.285
Si2 0.203 0.091 0.892
Si3 0.297 0.909 0.392
Si4 0.500 0.438 0.785
Si5 0.703 0.909 0.392
Si6 0.797 0.091 0.892